A plane-wave DFT calculation with meta-GGA SCAN was carried out for MnCdAu2 at its PBEsol-relaxed geometry.

Lattice parameters (Å, degrees): 2.9715 4.6851 4.8534 90.00 90.00 90.00
Last column: nearest neighbours and their distance in Å.
Atoms (fractional coordinates):
Mn  0.0000  0.0000  0.0000  8 Au 2.80-2.90, 2 Mn 2.97, 2 Cd 2.98
Cd  0.0000  0.5000  0.3795  8 Au 2.82-2.87, 2 Cd 2.97, 2 Mn 2.98
Au  0.5000  0.0000  0.5121  4 Mn 2.80-2.90, 4 Cd 2.85, 4 Au 2.96-2.97
Au  0.5000  0.5000  0.8853  4 Cd 2.82-2.87, 4 Mn 2.83, 4 Au 2.96-2.97

SG	Pmm2, No. 25
crystal system	orthorhombic
energy relative to the elements	-306	meV/atom

---

A plane-wave DFT calculation with meta-GGA SCAN was carried out for MnCdAu2 at its PBEsol-relaxed geometry.

Lattice parameters (Å, degrees): 4.9606 4.9606 4.9606 131.43 131.43 71.13
Last column: nearest neighbours and their distance in Å.
Atoms (fractional coordinates):
Mn  0.0000  0.0000  0.0000  8 Au 2.87-2.89, 4 Cd 2.87
Cd  0.2500  0.7500  0.5000  8 Au 2.87-2.89, 4 Mn 2.87
Au  0.5000  0.5000  0.0000  4 Cd 2.87, 4 Au 2.87, 4 Mn 2.89
Au  0.7500  0.2500  0.5000  4 Au 2.87, 4 Mn 2.87, 4 Cd 2.89

SG	I-4m2, No. 119
crystal system	tetragonal
energy relative to the elements	-317	meV/atom

---

A plane-wave DFT calculation with meta-GGA SCAN was carried out for MnCdSbAu2 at its PBEsol-relaxed geometry.

Lattice parameters (Å, degrees): 4.9927 4.9927 4.9044 90.00 90.00 90.00
Last column: nearest neighbours and their distance in Å.
Atoms (fractional coordinates):
Mn  0.0000  0.0000  0.0000  2 Cd 2.45
Cd  0.0000  0.0000  0.5000  2 Mn 2.45, 4 Au 2.50
Sb  0.5000  0.5000  0.0000  8 Au 3.50, 4 Mn 3.53
Au  0.0000  0.5000  0.5000  2 Cd 2.50
Au  0.5000  0.0000  0.5000  2 Cd 2.50

raw formation energy	3.47	eV per formula unit
SG	P4/mmm, No. 123
crystal system	tetragonal

---

A plane-wave DFT calculation with meta-GGA SCAN was carried out for TiMnCd2Au at its PBEsol-relaxed geometry.

Lattice parameters (Å, degrees): 5.1371 5.1371 4.0765 90.00 90.00 90.00
Last column: nearest neighbours and their distance in Å.
Atoms (fractional coordinates):
Ti  0.0000  0.0000  0.0000  2 Mn 2.04
Mn  0.0000  0.0000  0.5000  2 Ti 2.04
Cd  0.0000  0.5000  0.0000  2 Ti 2.57
Cd  0.5000  0.0000  0.0000  2 Ti 2.57
Au  0.5000  0.5000  0.5000  8 Cd 3.28, 4 Mn 3.63

SG	P4/mmm, No. 123
crystal system	tetragonal
energy relative to the elements	963	meV/atom